First-principles (PBE-GGA) data for a relaxed Ag2H6PdRh crystal, as listed in Alexandria via LeMat-Bulk.

Structure (POSCAR):
```
Ag2H6PdRh
1.0
4.983 -0.012 0.054
-0.012 4.926 0.010
2.524 2.465 3.567
H Ag Rh Pd
6 2 1 1
direct
0.689 0.176 0.059 H
0.833 0.759 0.921 H
0.251 0.307 0.514 H
0.167 0.241 0.079 H
0.749 0.693 0.486 H
0.311 0.824 0.941 H
0.251 0.748 0.500 Ag
0.749 0.252 0.500 Ag
0.000 0.000 0.000 Rh
0.500 0.500 0.000 Pd
```

## Properties
Magnetization: 0.00 μB/atom
Crystal system: triclinic
V: 87 Å³ per cell
Calculated density: 8.25 Mg/m³
Total energy: -37.74 eV/cell